No. 1
Below is a geometry-optimized KAc6Te8 structure, with properties calculated at the PBE-GGA level.

Cell lengths 12.6415, 12.6415, 4.8973 Å; angles 90.00, 90.00, 120.00 degrees
Space group P-3 (No. 147)
Symmetry-distinct sites (fractional):
K 0.0000 0.0000 0.0000 x1
Ac 0.1381 0.6565 0.2511 x6
Te 0.0422 0.3501 0.2481 x6
Te 0.3333 0.6667 0.7510 x2

Calculated values
total moment: 0.092 μB per atom
D(E_F): 0.663 states/eV/atom
VASP energy: -4.787 eV/atom
offset from the most stable computed form: 0.095 eV/atom
formation energy from raw total energies: -1395.1 meV/atom



No. 2
Below is a geometry-optimized Li2FeSe structure, with properties calculated at the PBE-GGA level.

Cell lengths 3.5216, 3.5216, 21.5883 Å; angles 90.00, 90.00, 120.00 degrees
Space group R3m (No. 160, hexagonal axes)
Symmetry-distinct sites (fractional):
Li 0.0000 0.0000 0.0000 x3
Li 0.0000 0.0000 0.2076 x3
Fe 0.0000 0.0000 0.4488 x3
Se 0.0000 0.0000 0.7370 x3

Calculated values
total moment: 0.000 μB per atom
D(E_F): 0.156 states/eV/atom
VASP energy: -3.943 eV/atom
formation energy from raw total energies: 0.8 meV/atom



No. 3
Below is a geometry-optimized BaCa2MgO structure, with properties calculated at the PBE-GGA level.

Cell lengths 4.923, 4.923, 5.822 Å; angles 90.00, 90.00, 90.00 degrees
Space group P4/mmm (No. 123)
Symmetry-distinct sites (fractional):
Ba 0.000 0.000 0.000 x1
Ca 0.000 0.500 0.500 x2
Mg 0.500 0.500 0.000 x1
O 0.000 0.000 0.500 x1

Calculated values
total moment: 0.000 μB per atom
D(E_F): 0.552 states/eV/atom
VASP energy: -3.557 eV/atom
formation energy from raw total energies: -1061.7 meV/atom



- Look up the formation energy from raw total energies of the first one.
  -1395.1 meV/atom



- Which of these has the highest total moment?
  KAc6Te8